Record 1
The following is a DFT calculation (PBE) of a relaxed HfV2CoHg crystal.

For the formation energy, the calculation gives 0.709 eV/atom. The calculation puts the magnetization at 0.013 μB/f.u. The value obtained for the density of states at the Fermi level is 6.93 states/eV/f.u. The calculated volume comes out at 90 Å³/f.u.

The structure belongs to space group P4/mmm (No. 123); the cell edges are 4.3326, 4.3326 and 4.8039 Å and the angles 90.00°, 90.00° and 90.00°. The inequivalent atoms are Hf at (0.0000, 0.0000, 0.0000), V at (0.0000, 0.5000, 0.5000), Co at (0.5000, 0.5000, 0.5000) and Hg at (0.5000, 0.5000, 0.0000).

Record 2
The following is a DFT calculation (PBE) of a relaxed HoHfCo2 crystal.

For the formation energy, the calculation gives -0.305 eV/atom. As for the energy above the most stable polymorph in this dataset: 0 meV per atom. The calculation puts the magnetization at 0.331 μB/f.u. The value obtained for the density of states at the Fermi level is 3.13 states/eV/f.u. The calculated volume comes out at 67 Å³/f.u.

The structure belongs to space group P4/mmm (No. 123); the cell edges are 3.2059, 3.2059 and 6.5660 Å and the angles 90.00°, 90.00° and 90.00°. The inequivalent atoms are Ho at (0.0000, 0.0000, 0.0000), Hf at (0.0000, 0.0000, 0.5000) and Co at (0.5000, 0.5000, 0.2787).

Among the records above, which one has the lowest magnetization?
HfV2CoHg